Computed, not measured: a relaxed NaCoNiAg2 crystal at the PBE-GGA level of DFT.

```
5
Lattice="-3.1994 3.4744 0.4178 -2.8611 -2.3284 -2.5462 -1.7567 -2.0841 3.8798" Properties=species:S:1:pos:R:3 pbc="T T T"
Ni -1.4305 -1.1642 -1.2731
Co -3.9086 -0.4691 0.8757
Ag -0.8783 -1.0421 1.9399
Ag -1.5997 1.7372 0.2089
Na 0.0000 0.0000 0.0000
```

Calculated values
ΔH_f (0 K)   1.50 eV per atom
Calculated density   5.87 g/cm³
Magnetization   1.89 μB per cell